Material: Zr2H3
Method: DFT, GGA-PBE
State: relaxed

As for the excess energy over the best structure of this formula in the dataset: 0.02 eV/f.u.

Cell: 3.246 5.605 5.978 Å, 94.94 94.10 99.94°
Positions (direct):
Zr1 0.000 0.000 0.000
Zr2 0.249 0.495 0.749
Zr3 0.500 0.000 0.500
Zr4 0.751 0.505 0.251
H1 0.189 0.376 0.063
H2 0.310 0.631 0.439
H3 0.432 0.874 0.810
H4 0.568 0.126 0.190
H5 0.690 0.369 0.561
H6 0.811 0.624 0.937